[1]
! meta-GGA SCAN BaIn2NiBr, PBEsol geometry; values from VASP
&SYSTEM
  ibrav = 0, nat = 5, ntyp = 4
/
ATOMIC_SPECIES
Ni 58.69 Ni.upf
Ba 137.33 Ba.upf
Br 79.90 Br.upf
In 114.82 In.upf
CELL_PARAMETERS angstrom
-4.124 -2.180 1.526
3.458 -3.598 4.205
-0.750 4.609 4.560
ATOMIC_POSITIONS crystal
Ni 0.500 0.000 0.000
Ba 0.000 0.000 0.000
Br 0.500 0.500 0.500
In 0.000 0.000 0.500
In 0.000 0.500 0.000
! VASP energy in eV/atom: -27.527
! Fermi-level density of states in states/eV per cell: 4.30

[2]
! meta-GGA SCAN SnMo2H2, PBEsol geometry; values from VASP
&SYSTEM
  ibrav = 0, nat = 5, ntyp = 3
/
ATOMIC_SPECIES
H 1.01 H.upf
Mo 95.94 Mo.upf
Sn 118.71 Sn.upf
CELL_PARAMETERS angstrom
-2.558 0.878 1.728
-1.917 -1.561 -2.046
2.708 -4.118 3.121
ATOMIC_POSITIONS crystal
H 0.250 0.750 0.500
H 0.750 0.250 0.500
Mo 0.340 0.340 0.680
Mo 0.660 0.660 0.320
Sn 0.000 0.000 0.000
! VASP energy in eV/atom: -22.366
! Fermi-level density of states in states/eV per cell: 1.54

[3]
! meta-GGA SCAN KCdPb2, PBEsol geometry; values from VASP
&SYSTEM
  ibrav = 0, nat = 4, ntyp = 3
/
ATOMIC_SPECIES
Pb 207.20 Pb.upf
K 39.10 K.upf
Cd 112.41 Cd.upf
CELL_PARAMETERS angstrom
-1.387 -1.654 -3.060
4.191 -2.324 -0.643
-1.700 -4.560 5.404
ATOMIC_POSITIONS crystal
Pb 0.690 0.000 0.809
Pb 0.310 0.000 0.191
K 0.000 0.500 0.500
Cd 0.500 0.500 0.000
! ΔE_f in kJ/mol of atoms: -16
! VASP energy in eV/atom: -47.741
! Fermi-level density of states in states/eV per cell: 1.30

[4]
! meta-GGA SCAN AlFeW2, PBEsol geometry; values from VASP
&SYSTEM
  ibrav = 0, nat = 4, ntyp = 3
/
ATOMIC_SPECIES
Fe 55.84 Fe.upf
W 183.84 W.upf
Al 26.98 Al.upf
CELL_PARAMETERS angstrom
-0.964 -1.509 2.086
2.365 -1.400 0.081
2.681 4.802 4.713
ATOMIC_POSITIONS crystal
Fe 0.500 0.500 0.737
W 0.000 0.000 0.961
W 0.500 0.500 0.265
Al 0.000 0.000 0.537
! ΔE_f in kJ/mol of atoms: 4
! VASP energy in eV/atom: -41.271
! Fermi-level density of states in states/eV per cell: 2.86

[5]
! meta-GGA SCAN Ba2AgPt, PBEsol geometry; values from VASP
&SYSTEM
  ibrav = 0, nat = 4, ntyp = 3
/
ATOMIC_SPECIES
Pt 195.08 Pt.upf
Ba 137.33 Ba.upf
Ag 107.87 Ag.upf
CELL_PARAMETERS angstrom
-3.928 2.123 0.850
-3.170 -2.022 2.555
0.716 3.202 7.467
ATOMIC_POSITIONS crystal
Pt 0.500 0.500 0.500
Ba 0.759 0.759 0.722
Ba 0.241 0.241 0.278
Ag 0.000 0.000 0.000
! ΔE_f in kJ/mol of atoms: -51
! VASP energy in eV/atom: -45.691
! Fermi-level density of states in states/eV per cell: 2.05

[6]
! meta-GGA SCAN CaAl2Ir2, PBEsol geometry; values from VASP
&SYSTEM
  ibrav = 0, nat = 5, ntyp = 3
/
ATOMIC_SPECIES
Ca 40.08 Ca.upf
Ir 192.22 Ir.upf
Al 26.98 Al.upf
CELL_PARAMETERS angstrom
-1.709 -3.408 -1.422
-1.337 -0.890 3.739
-3.065 4.865 -2.153
ATOMIC_POSITIONS crystal
Ca 0.000 0.000 0.000
Ir 0.385 0.385 0.769
Ir 0.615 0.615 0.231
Al 0.250 0.750 0.500
Al 0.750 0.250 0.500
! ΔE_f in kJ/mol of atoms: -87
! VASP energy in eV/atom: -34.377
! Fermi-level density of states in states/eV per cell: 1.65

[7]
! meta-GGA SCAN Sr2H6Pt, PBEsol geometry; values from VASP
&SYSTEM
  ibrav = 0, nat = 18, ntyp = 3
/
ATOMIC_SPECIES
Sr 87.62 Sr.upf
Pt 195.08 Pt.upf
H 1.01 H.upf
CELL_PARAMETERS angstrom
5.496 0.000 0.000
0.000 5.495 0.000
-2.748 0.000 6.808
ATOMIC_POSITIONS crystal
Sr 0.645 0.000 0.291
Sr 0.355 0.000 0.709
Sr 0.855 0.500 0.709
Sr 0.145 0.500 0.291
Pt 0.000 0.000 0.000
Pt 0.500 0.500 0.000
H 0.878 0.000 0.755
H 0.122 0.000 0.245
H 0.622 0.500 0.245
H 0.378 0.500 0.755
H 0.000 0.250 0.500
H 0.000 0.750 0.500
H 0.500 0.750 0.500
H 0.500 0.250 0.500
H 0.222 0.222 0.000
H 0.778 0.778 0.000
H 0.278 0.722 0.000
H 0.722 0.278 0.000
! VASP energy in eV/atom: -15.744

[8]
! meta-GGA SCAN CrSbPb2, PBEsol geometry; values from VASP
&SYSTEM
  ibrav = 0, nat = 4, ntyp = 3
/
ATOMIC_SPECIES
Cr 52.00 Cr.upf
Pb 207.20 Pb.upf
Sb 121.76 Sb.upf
CELL_PARAMETERS angstrom
4.733 0.000 0.000
0.000 4.733 0.000
-2.366 -2.366 4.477
ATOMIC_POSITIONS crystal
Cr 0.250 0.750 0.500
Pb 0.000 0.000 0.000
Pb 0.750 0.250 0.500
Sb 0.500 0.500 0.000
! VASP energy in eV/atom: -51.564
! Fermi-level density of states in states/eV per cell: 1.77

[9]
! meta-GGA SCAN TlIn2Rh, PBEsol geometry; values from VASP
&SYSTEM
  ibrav = 0, nat = 4, ntyp = 3
/
ATOMIC_SPECIES
In 114.82 In.upf
Rh 102.91 Rh.upf
Tl 204.38 Tl.upf
CELL_PARAMETERS angstrom
3.366 0.000 0.000
0.000 4.910 0.000
0.000 0.000 4.962
ATOMIC_POSITIONS crystal
In 0.000 0.000 0.000
In 0.500 0.000 0.500
Rh 0.500 0.500 0.000
Tl 0.000 0.500 0.500
! ΔE_f in kJ/mol of atoms: 25
! VASP energy in eV/atom: -42.971
! Fermi-level density of states in states/eV per cell: 2.22

[10]
! meta-GGA SCAN MgBe, PBEsol geometry; values from VASP
&SYSTEM
  ibrav = 0, nat = 2, ntyp = 2
/
ATOMIC_SPECIES
Be 9.01 Be.upf
Mg 24.30 Mg.upf
CELL_PARAMETERS angstrom
-0.385 -1.459 2.675
3.035 0.059 0.469
-0.274 2.702 1.434
ATOMIC_POSITIONS crystal
Be 0.000 0.000 0.000
Mg 0.500 0.500 0.500
! ΔE_f in kJ/mol of atoms: 38
! VASP energy in eV/atom: -4.274
! Fermi-level density of states in states/eV per cell: 0.63

[11]
! meta-GGA SCAN ZrFe3Au, PBEsol geometry; values from VASP
&SYSTEM
  ibrav = 0, nat = 5, ntyp = 3
/
ATOMIC_SPECIES
Au 196.97 Au.upf
Fe 55.84 Fe.upf
Zr 91.22 Zr.upf
CELL_PARAMETERS angstrom
-4.341 -0.167 -0.817
-0.559 -2.629 3.509
-0.619 3.550 2.561
ATOMIC_POSITIONS crystal
Au 0.500 0.500 0.500
Fe 0.000 0.500 0.000
Fe 0.000 0.000 0.500
Fe 0.500 0.000 0.000
Zr 0.000 0.000 0.000
! ΔE_f in kJ/mol of atoms: 154
! VASP energy in eV/atom: -29.258
! Fermi-level density of states in states/eV per cell: 4.57

[12]
! meta-GGA SCAN NiPb2Se, PBEsol geometry; values from VASP
&SYSTEM
  ibrav = 0, nat = 4, ntyp = 3
/
ATOMIC_SPECIES
Ni 58.69 Ni.upf
Pb 207.20 Pb.upf
Se 78.96 Se.upf
CELL_PARAMETERS angstrom
-0.697 -0.936 -4.871
-4.426 -1.699 -1.615
-2.981 2.968 -2.718
ATOMIC_POSITIONS crystal
Ni 0.500 0.500 0.500
Pb 0.000 0.000 0.000
Pb 0.750 0.750 0.750
Se 0.250 0.250 0.250
! VASP energy in eV/atom: -46.447
! Fermi-level density of states in states/eV per cell: 3.18

[13]
! meta-GGA SCAN SrInGeSe2, PBEsol geometry; values from VASP
&SYSTEM
  ibrav = 0, nat = 5, ntyp = 4
/
ATOMIC_SPECIES
Sr 87.62 Sr.upf
Ge 72.64 Ge.upf
Se 78.96 Se.upf
In 114.82 In.upf
CELL_PARAMETERS angstrom
5.612 0.000 0.000
0.000 5.640 0.000
0.000 0.000 5.640
ATOMIC_POSITIONS crystal
Sr 0.000 0.000 0.000
Ge 0.500 0.000 0.000
Se 0.000 0.000 0.500
Se 0.000 0.500 0.000
In 0.500 0.500 0.500
! VASP energy in eV/atom: -22.710
! Fermi-level density of states in states/eV per cell: 4.70

[14]
! meta-GGA SCAN TcSbOs, PBEsol geometry; values from VASP
&SYSTEM
  ibrav = 0, nat = 3, ntyp = 3
/
ATOMIC_SPECIES
Os 190.23 Os.upf
Sb 121.76 Sb.upf
Tc 98.00 Tc.upf
CELL_PARAMETERS angstrom
2.916 0.000 0.000
0.000 4.374 0.000
0.000 -2.187 3.788
ATOMIC_POSITIONS crystal
Os 0.914 0.000 0.000
Sb 0.701 0.333 0.667
Tc 0.385 0.667 0.333
! VASP energy in eV/atom: -47.500
! Fermi-level density of states in states/eV per cell: 2.35

[15]
! meta-GGA SCAN TaSbTe2H, PBEsol geometry; values from VASP
&SYSTEM
  ibrav = 0, nat = 5, ntyp = 4
/
ATOMIC_SPECIES
Sb 121.76 Sb.upf
Te 127.60 Te.upf
H 1.01 H.upf
Ta 180.95 Ta.upf
CELL_PARAMETERS angstrom
-4.931 -1.263 1.590
-0.520 -3.250 -4.195
1.970 -4.049 2.893
ATOMIC_POSITIONS crystal
Sb 0.000 0.000 0.500
Te 0.000 0.500 0.000
Te 0.500 0.000 0.000
H 0.500 0.500 0.500
Ta 0.000 0.000 0.000
! VASP energy in eV/atom: -35.647
! Fermi-level density of states in states/eV per cell: 3.25

[16]
! meta-GGA SCAN YCoTcO2, PBEsol geometry; values from VASP
&SYSTEM
  ibrav = 0, nat = 5, ntyp = 4
/
ATOMIC_SPECIES
Y 88.91 Y.upf
Co 58.93 Co.upf
Tc 98.00 Tc.upf
O 16.00 O.upf
CELL_PARAMETERS angstrom
-3.313 1.951 1.349
-0.173 -2.509 3.206
3.511 3.784 3.150
ATOMIC_POSITIONS crystal
Y 0.000 0.000 0.000
Co 0.500 0.500 0.500
Tc 0.000 0.000 0.500
O 0.000 0.500 0.000
O 0.500 0.000 0.000
! VASP energy in eV/atom: -18.463
! Fermi-level density of states in states/eV per cell: 4.07

[17]
! meta-GGA SCAN Hf3SnF, PBEsol geometry; values from VASP
&SYSTEM
  ibrav = 0, nat = 5, ntyp = 3
/
ATOMIC_SPECIES
Hf 178.49 Hf.upf
Sn 118.71 Sn.upf
F 19.00 F.upf
CELL_PARAMETERS angstrom
-2.085 1.494 3.672
1.502 -3.542 2.294
3.669 2.299 1.148
ATOMIC_POSITIONS crystal
Hf 0.000 0.500 0.000
Hf 0.000 0.000 0.500
Hf 0.500 0.000 0.000
Sn 0.500 0.500 0.500
F 0.000 0.000 0.000
! VASP energy in eV/atom: -46.067
! Fermi-level density of states in states/eV per cell: 5.78

[18]
! meta-GGA SCAN MgMnAl2, PBEsol geometry; values from VASP
&SYSTEM
  ibrav = 0, nat = 4, ntyp = 3
/
ATOMIC_SPECIES
Al 26.98 Al.upf
Mg 24.30 Mg.upf
Mn 54.94 Mn.upf
CELL_PARAMETERS angstrom
-0.296 -2.203 -1.999
0.328 -3.037 3.299
-4.462 0.107 0.542
ATOMIC_POSITIONS crystal
Al 0.000 0.000 0.500
Al 0.000 0.500 0.000
Mg 0.500 0.500 0.500
Mn 0.500 0.000 0.000
! ΔE_f in kJ/mol of atoms: -8
! VASP energy in eV/atom: -9.761
! Fermi-level density of states in states/eV per cell: 1.42

[19]
! meta-GGA SCAN KTa2Hg, PBEsol geometry; values from VASP
&SYSTEM
  ibrav = 0, nat = 4, ntyp = 3
/
ATOMIC_SPECIES
Hg 200.59 Hg.upf
K 39.10 K.upf
Ta 180.95 Ta.upf
CELL_PARAMETERS angstrom
2.925 0.035 0.000
-0.903 2.782 0.000
0.000 0.000 10.648
ATOMIC_POSITIONS crystal
Hg 0.000 0.000 0.530
K 0.500 0.500 0.259
Ta 0.000 0.000 0.953
Ta 0.500 0.500 0.757
! ΔE_f in kJ/mol of atoms: 43
! VASP energy in eV/atom: -51.970
! Fermi-level density of states in states/eV per cell: 2.90

[20]
! meta-GGA SCAN MnSi, PBEsol geometry; values from VASP
&SYSTEM
  ibrav = 0, nat = 8, ntyp = 2
/
ATOMIC_SPECIES
Si 28.09 Si.upf
Mn 54.94 Mn.upf
CELL_PARAMETERS angstrom
-4.115 0.982 1.441
-0.736 -4.326 0.847
1.581 0.543 4.145
ATOMIC_POSITIONS crystal
Si 0.845 0.845 0.845
Si 0.655 0.155 0.345
Si 0.155 0.345 0.655
Si 0.345 0.655 0.155
Mn 0.137 0.137 0.137
Mn 0.363 0.863 0.637
Mn 0.863 0.637 0.363
Mn 0.637 0.363 0.863
! VASP energy in eV/atom: -14.605
! Fermi-level density of states in states/eV per cell: 2.72

no.,total magnetic moment (μB/cell)
1,0.0
2,0.0
3,0.0
4,0.0
5,0.0
6,0.0
7,0.0
8,4.3
9,0.0
10,0.0
11,5.9
12,0.0
13,0.0
14,0.0
15,1.0
16,6.9
17,0.0
18,3.2
19,0.0
20,4.0